Compound: Ca3MgU3P8
Source: the Alexandria database
Functional: PBE-GGA
Structure: optimized geometry

Output
D(E_F) in states/eV/cell: 12.46
Space-group type: R-3m
ΔE_f in meV/atom: -775

Cell lengths 8.0360, 8.0360, 8.0360 Å; angles 59.35, 59.35, 59.35 degrees
Atoms (fractional coordinates):
Ca (0.0000, 0.5000, 0.5000)
Ca (0.5000, 0.0000, 0.5000)
Ca (0.5000, 0.5000, 0.0000)
Mg (0.5000, 0.5000, 0.5000)
U (0.0000, 0.0000, 0.5000)
U (0.0000, 0.5000, 0.0000)
U (0.5000, 0.0000, 0.0000)
P (0.2260, 0.7467, 0.7467)
P (0.2428, 0.2428, 0.2428)
P (0.2533, 0.2533, 0.7740)
P (0.2533, 0.7740, 0.2533)
P (0.7467, 0.2260, 0.7467)
P (0.7467, 0.7467, 0.2260)
P (0.7572, 0.7572, 0.7572)
P (0.7740, 0.2533, 0.2533)